Crystalline SmPuSeO2 at its relaxed geometry, computed with PBE.

POSCAR file:
```
SmPuSeO2
1.0
-0.5254 3.4679 -1.6815
0.4504 -1.6302 -3.5027
-6.0643 -1.9834 2.3031
Se Sm Pu O
1 1 1 2
Direct
0.5004 0.5004 0.0008
0.8485 0.8485 0.6971
0.1509 0.1509 0.3018
0.2501 0.7501 0.5002
0.7501 0.2501 0.5002
```

raw formation energy	-2.745	eV/atom
N(E_F)	11.2	states/eV/f.u.
theoretical density	8.944	g/cm³

***

Crystalline PuSnSe2O at its relaxed geometry, computed with PBE.

POSCAR file:
```
PuSnSe2O
1.0
-1.6523 3.4611 1.0344
-3.4641 -1.8406 0.6254
3.7259 -2.3351 13.7649
Se O Pu Sn
4 2 2 2
Direct
0.5000 0.0000 0.8954
0.5000 0.0000 0.3178
0.0000 0.5000 0.6822
0.0000 0.5000 0.1046
0.5000 0.5000 0.5000
0.0000 0.0000 0.5000
0.0000 0.5000 0.4168
0.5000 0.0000 0.5832
0.0000 0.5000 0.8722
0.5000 0.0000 0.1278
```

raw formation energy	-1.504	eV/atom
N(E_F)	5.9	states/eV/f.u.
theoretical density	7.816	g/cm³

***

Crystalline TbPuSeO2 at its relaxed geometry, computed with PBE.

POSCAR file:
```
TbPuSeO2
1.0
3.8513 0.0000 0.0000
0.0000 3.8513 0.0000
-1.9257 -1.9257 6.1445
Se Pu O Tb
1 1 2 1
Direct
0.5005 0.5005 0.0011
0.1490 0.1490 0.2981
0.7523 0.2523 0.5046
0.2523 0.7523 0.5046
0.8458 0.8458 0.6916
```

raw formation energy	-2.777	eV/atom
N(E_F)	10.7	states/eV/f.u.
theoretical density	9.363	g/cm³

***

Crystalline Pu2TeSe2O2 at its relaxed geometry, computed with PBE.

POSCAR file:
```
Pu2TeSe2O2
1.0
3.7307 0.0000 0.0000
-1.8653 3.2308 0.0000
0.0000 0.0000 13.5878
Se Te O Pu
2 1 2 2
Direct
0.0000 0.0000 0.6343
0.0000 0.0000 0.3657
0.0000 0.0000 0.0000
0.3333 0.6667 0.1937
0.6667 0.3333 0.8063
0.6667 0.3333 0.2299
0.3333 0.6667 0.7701
```

raw formation energy	-1.638	eV/atom
N(E_F)	13.7	states/eV/f.u.
theoretical density	8.167	g/cm³